# La3ThN3 (PBE-GGA, relaxed)
# E_form (uncorrected) = -1.1189 eV/atom
# magnetic moment = 0.53 μB/f.u.
# E_tot = -110.0 eV for the cell shown
data_La3ThN3
_space_group_name_H-M_alt 'P 63/m m c'
_space_group_IT_number 194
_space_group_name_Hall '-P 6c 2c'
_cell_length_a 8.2509
_cell_length_b 8.2509
_cell_length_c 5.6146
_cell_angle_alpha 90.00
_cell_angle_beta 90.00
_cell_angle_gamma 120.00
loop_
_atom_site_label
_atom_site_type_symbol
_atom_site_fract_x
_atom_site_fract_y
_atom_site_fract_z
La1 La 0.1672 0.3343 0.2500
Th1 Th 0.3333 0.6667 0.7500
N1 N 0.1686 0.3371 0.7500

=====

# La4ThN5 (PBE-GGA, relaxed)
# E_form (uncorrected) = -1.4066 eV/atom
# magnetic moment = 0.00 μB/f.u.
# E_tot = -165.6 eV for the cell shown
data_La4ThN5
_space_group_name_H-M_alt 'I 4/m m m'
_space_group_IT_number 139
_space_group_name_Hall '-I 4 2'
_cell_length_a 3.720
_cell_length_b 3.720
_cell_length_c 26.559
_cell_angle_alpha 90.00
_cell_angle_beta 90.00
_cell_angle_gamma 90.00
loop_
_atom_site_label
_atom_site_type_symbol
_atom_site_fract_x
_atom_site_fract_y
_atom_site_fract_z
La1 La 0.000 0.000 0.101
La2 La 0.000 0.000 0.298
Th1 Th 0.000 0.000 0.500
N1 N 0.000 0.000 0.000
N2 N 0.000 0.000 0.199
N3 N 0.000 0.000 0.409

=====

# La4ThN4 (PBE-GGA, relaxed)
# E_form (uncorrected) = -0.7252 eV/atom
# magnetic moment = 3.12 μB/f.u.
# E_tot = -133.9 eV for the cell shown
data_La4ThN4
_space_group_name_H-M_alt 'I -4 2 m'
_space_group_IT_number 121
_space_group_name_Hall 'I -4 2'
_cell_length_a 6.142
_cell_length_b 6.142
_cell_length_c 11.214
_cell_angle_alpha 90.00
_cell_angle_beta 90.00
_cell_angle_gamma 90.00
loop_
_atom_site_label
_atom_site_type_symbol
_atom_site_fract_x
_atom_site_fract_y
_atom_site_fract_z
La1 La 0.000 0.000 0.205
La2 La 0.000 0.500 0.000
Th1 Th 0.000 0.000 0.500
N1 N 0.237 0.237 0.613

=====

# LaTh3N (PBE-GGA, relaxed)
# E_form (uncorrected) = -0.5849 eV/atom
# magnetic moment = 0.00 μB/f.u.
# E_tot = -38.4 eV for the cell shown
data_LaTh3N
_space_group_name_H-M_alt 'P m -3 m'
_space_group_IT_number 221
_space_group_name_Hall '-P 4 2 3'
_cell_length_a 5.107
_cell_length_b 5.107
_cell_length_c 5.107
_cell_angle_alpha 90.00
_cell_angle_beta 90.00
_cell_angle_gamma 90.00
loop_
_atom_site_label
_atom_site_type_symbol
_atom_site_fract_x
_atom_site_fract_y
_atom_site_fract_z
La1 La 0.000 0.000 0.000
Th1 Th 0.000 0.500 0.500
N1 N 0.500 0.500 0.500

=====

# La2ThN4 (PBE-GGA, relaxed)
# E_form (uncorrected) = -0.9730 eV/atom
# magnetic moment = 1.71 μB/f.u.
# E_tot = -229.5 eV for the cell shown
data_La2ThN4
_space_group_name_H-M_alt 'I -4 2 d'
_space_group_IT_number 122
_space_group_name_Hall 'I -4 2bw'
_cell_length_a 7.913
_cell_length_b 7.913
_cell_length_c 7.212
_cell_angle_alpha 90.00
_cell_angle_beta 90.00
_cell_angle_gamma 90.00
loop_
_atom_site_label
_atom_site_type_symbol
_atom_site_fract_x
_atom_site_fract_y
_atom_site_fract_z
La1 La 0.137 0.750 0.125
Th1 Th 0.000 0.000 0.500
N1 N 0.068 0.686 0.467

=====

# LaThN2 (PBE-GGA, relaxed)
# E_form (uncorrected) = -1.3234 eV/atom
# magnetic moment = 0.23 μB/f.u.
# E_tot = -102.9 eV for the cell shown
data_LaThN2
_space_group_name_H-M_alt 'R 3 m'
_space_group_IT_number 160
_space_group_name_Hall 'R 3 -2"'
_cell_length_a 3.6412
_cell_length_b 3.6412
_cell_length_c 18.8349
_cell_angle_alpha 90.00
_cell_angle_beta 90.00
_cell_angle_gamma 120.00
loop_
_atom_site_label
_atom_site_type_symbol
_atom_site_fract_x
_atom_site_fract_y
_atom_site_fract_z
La1 La 0.0000 0.0000 0.0000
Th1 Th 0.0000 0.0000 0.8277
N1 N 0.0000 0.0000 0.2345
N2 N 0.0000 0.0000 0.4195